[1]
The following is a SCAN calculation of a PBEsol-optimized structure of Ba2MgBr, from the Alexandria database.

abc: 3.8530 6.1578 6.1578
angles: 90.00 90.00 90.00
With the nearest neighbours (Å) after each atom.
Positions (direct):
Ba1 0.0000 0.0000 0.5000  4 Br 3.63, 4 Mg 3.63, 2 Ba 3.85
Ba2 0.0000 0.5000 0.0000  4 Br 3.63, 4 Mg 3.63, 2 Ba 3.85
Br1 0.5000 0.5000 0.5000  8 Ba 3.63, 2 Br 3.85
Mg1 0.5000 0.0000 0.0000  8 Ba 3.63, 2 Mg 3.85

Total DFT energy (no corrections): -106.60 eV per cell
Relative energy among the computed polymorphs: 0.3 kJ/mol of atoms
Symmetry: P4/mmm (123)
D(E_F): 3.28 states/eV/f.u.



[2]
The following is a SCAN calculation of a PBEsol-optimized structure of EuCoGe3, from the Alexandria database.

abc: 4.2446 4.2446 5.7309
angles: 111.74 111.74 90.00
With the nearest neighbours (Å) after each atom.
Positions (direct):
Eu1 0.0104 0.0104 0.0207  12 Ge 3.08-3.27, 5 Co 3.31-3.39
Ge1 0.5794 0.5794 0.1588  1 Co 2.24
Ge2 0.2562 0.7562 0.5124  2 Co 2.31
Ge3 0.7562 0.2562 0.5124  2 Co 2.31
Co1 0.3495 0.3495 0.6989  5 Ge 2.24-2.31

Total DFT energy (no corrections): -130.83 eV per cell
Energy relative to the elements: -0.511 eV per atom
Symmetry: I4mm (107)
D(E_F): 4.85 states/eV/f.u.



[3]
The following is a SCAN calculation of a PBEsol-optimized structure of IrBr2Cl, from the Alexandria database.

abc: 3.5835 3.8822 8.0387
angles: 90.00 90.00 117.49
With the nearest neighbours (Å) after each atom.
Positions (direct):
Ir1 0.5000 0.0000 0.0000  4 Br 2.41
Br1 0.0000 0.0000 0.7988  2 Ir 2.41
Br2 0.0000 0.0000 0.2012  2 Ir 2.41
Cl1 0.5000 0.0000 0.5000  4 Br 3.00

Total DFT energy (no corrections): -116.34 eV per cell
Relative energy among the computed polymorphs: 59.5 kJ/mol of atoms
Symmetry: Cmmm (65)
D(E_F): 4.49 states/eV/f.u.



[4]
The following is a SCAN calculation of a PBEsol-optimized structure of BaTlZn, from the Alexandria database.

abc: 4.1708 4.9856 4.9856
angles: 120.00 90.00 90.00
With the nearest neighbours (Å) after each atom.
Positions (direct):
Zn1 0.0000 0.6667 0.3333  3 Tl 2.88
Tl1 0.0000 0.3333 0.6667  3 Zn 2.88
Ba1 0.5000 0.0000 0.0000  6 Tl 3.55, 6 Zn 3.55

Total DFT energy (no corrections): -126.61 eV per cell
Energy relative to the elements: -0.396 eV per atom
Symmetry: P-6m2 (187)
D(E_F): 1.24 states/eV/f.u.



[5]
The following is a SCAN calculation of a PBEsol-optimized structure of BeIrPd3, from the Alexandria database.

abc: 4.7312 4.7312 4.7312
angles: 90.00 90.00 90.00
With the nearest neighbours (Å) after each atom.
Positions (direct):
Be1 0.5000 0.5000 0.5000  12 Pd 3.35
Ir1 0.0000 0.0000 0.0000  6 Pd 2.37
Pd1 0.0000 0.5000 0.0000  2 Ir 2.37
Pd2 0.0000 0.0000 0.5000  2 Ir 2.37
Pd3 0.5000 0.0000 0.0000  2 Ir 2.37

Total DFT energy (no corrections): -166.02 eV per cell
Energy relative to the elements: 1.552 eV per atom
Symmetry: Pm-3m (221)
D(E_F): 5.59 states/eV/f.u.



[6]
The following is a SCAN calculation of a PBEsol-optimized structure of Pd2RuBrCl, from the Alexandria database.

abc: 4.6028 4.6028 5.1931
angles: 90.00 90.00 90.00
With the nearest neighbours (Å) after each atom.
Positions (direct):
Ru1 0.5000 0.5000 0.5000  4 Cl 3.25, 8 Pd 3.47
Br1 0.0000 0.0000 0.0000  4 Pd 2.30
Pd1 0.0000 0.5000 0.0000  2 Br 2.30
Pd2 0.5000 0.0000 0.0000  2 Br 2.30
Cl1 0.0000 0.0000 0.5000  2 Br 2.60

Total DFT energy (no corrections): -121.61 eV per cell
Symmetry: P4/mmm (123)
D(E_F): 2.44 states/eV/f.u.



[7]
The following is a SCAN calculation of a PBEsol-optimized structure of Co2AgPt, from the Alexandria database.

abc: 2.6555 4.5595 4.5595
angles: 108.04 90.00 90.00
With the nearest neighbours (Å) after each atom.
Positions (direct):
Co1 0.0000 0.5000 0.0000  4 Ag 2.64, 4 Pt 2.64, 4 Co 2.66-2.68
Co2 0.0000 0.0000 0.5000  4 Pt 2.64, 4 Ag 2.64, 4 Co 2.66-2.68
Ag1 0.5000 0.5000 0.5000  8 Co 2.64, 2 Ag 2.66, 2 Pt 2.68
Pt1 0.5000 0.0000 0.0000  8 Co 2.64, 2 Pt 2.66, 2 Ag 2.68

Total DFT energy (no corrections): -135.64 eV per cell
Energy relative to the elements: 0.131 eV per atom
Symmetry: Cmmm (65)
D(E_F): 3.04 states/eV/f.u.



[8]
The following is a SCAN calculation of a PBEsol-optimized structure of ZrTl2Pt, from the Alexandria database.

abc: 4.3078 4.3078 4.3624
angles: 90.00 90.00 90.00
With the nearest neighbours (Å) after each atom.
Positions (direct):
Pt1 0.0000 0.0000 0.5000  4 Zr 3.05, 8 Tl 3.07
Tl1 0.0000 0.5000 0.0000  4 Tl 3.05, 4 Pt 3.07, 4 Zr 3.07
Tl2 0.5000 0.0000 0.0000  4 Tl 3.05, 4 Pt 3.07, 4 Zr 3.07
Zr1 0.5000 0.5000 0.5000  4 Pt 3.05, 8 Tl 3.07

Total DFT energy (no corrections): -246.49 eV per cell
Energy relative to the elements: -0.219 eV per atom
Relative energy among the computed polymorphs: 0.0 kJ/mol of atoms
Symmetry: P4/mmm (123)
D(E_F): 1.71 states/eV/f.u.



[9]
The following is a SCAN calculation of a PBEsol-optimized structure of AlFeAg2, from the Alexandria database.

abc: 2.7871 2.7871 9.1080
angles: 81.20 81.20 60.00
With the nearest neighbours (Å) after each atom.
Positions (direct):
Fe1 0.0000 0.0000 0.0000  6 Ag 2.74, 6 Fe 2.79
Ag1 0.2507 0.2507 0.2479  3 Fe 2.74, 3 Al 2.77, 6 Ag 2.79
Ag2 0.7493 0.7493 0.7521  3 Fe 2.74, 3 Al 2.77, 6 Ag 2.79
Al1 0.5000 0.5000 0.5000  6 Ag 2.77, 6 Al 2.79

Total DFT energy (no corrections): -88.00 eV per cell
Energy relative to the elements: 0.155 eV per atom
Symmetry: R-3m (166)
D(E_F): 2.09 states/eV/f.u.



[10]
The following is a SCAN calculation of a PBEsol-optimized structure of MnZn2Fe, from the Alexandria database.

abc: 3.6683 3.6683 4.4735
angles: 114.21 114.21 90.00
With the nearest neighbours (Å) after each atom.
Positions (direct):
Zn1 0.7500 0.2500 0.5000  4 Mn 2.59, 4 Fe 2.59, 4 Zn 2.59
Zn2 0.2500 0.7500 0.5000  4 Mn 2.59, 4 Fe 2.59, 4 Zn 2.59
Mn1 0.0000 0.0000 0.0000  8 Zn 2.59, 4 Fe 2.59
Fe1 0.5000 0.5000 0.0000  8 Zn 2.59, 4 Mn 2.59

Total DFT energy (no corrections): -63.93 eV per cell
Energy relative to the elements: -0.128 eV per atom
Relative energy among the computed polymorphs: 0.0 kJ/mol of atoms
Symmetry: I4/mmm (139)
D(E_F): 1.93 states/eV/f.u.



[11]
The following is a SCAN calculation of a PBEsol-optimized structure of Ba2ScSe, from the Alexandria database.

abc: 3.9052 3.9052 9.3997
angles: 90.00 90.00 90.00
With the nearest neighbours (Å) after each atom.
Positions (direct):
Ba1 0.0000 0.0000 0.7011  4 Se 3.35
Ba2 0.0000 0.0000 0.2989  4 Se 3.35
Sc1 0.5000 0.5000 0.0000  4 Sc 3.91, 8 Ba 3.94
Se1 0.5000 0.5000 0.5000  8 Ba 3.35

Total DFT energy (no corrections): -116.29 eV per cell
Symmetry: P4/mmm (123)
D(E_F): 3.62 states/eV/f.u.



[12]
The following is a SCAN calculation of a PBEsol-optimized structure of Cu, from the Alexandria database.

abc: 2.5154 2.5154 2.5154
angles: 60.00 60.00 60.00
With the nearest neighbours (Å) after each atom.
Positions (direct):
Cu1 0.0000 0.0000 0.0000  12 Cu 2.52

Total DFT energy (no corrections): -15.20 eV per cell
Energy relative to the elements: 0.000 eV per atom
Relative energy among the computed polymorphs: 0.0 kJ/mol of atoms
Symmetry: Fm-3m (225)
D(E_F): 0.33 states/eV/f.u.



[13]
The following is a SCAN calculation of a PBEsol-optimized structure of SrPtBr2, from the Alexandria database.

abc: 5.1278 5.1278 9.1950
angles: 106.19 106.19 90.00
With the nearest neighbours (Å) after each atom.
Positions (direct):
Sr1 0.7500 0.2500 0.5000  4 Br 2.92
Sr2 0.5000 0.5000 0.0000  4 Br 2.92
Br1 0.3204 0.8750 0.2500  2 Pt 2.67, 2 Sr 2.92
Br2 0.9296 0.3750 0.2500  2 Pt 2.67, 2 Sr 2.92
Br3 0.1250 0.0704 0.7500  2 Pt 2.67, 2 Sr 2.92
Br4 0.6250 0.6796 0.7500  2 Pt 2.67, 2 Sr 2.92
Pt1 0.2500 0.7500 0.5000  4 Br 2.67
Pt2 0.0000 0.0000 0.0000  4 Br 2.67

Total DFT energy (no corrections): -269.32 eV per cell
Relative energy among the computed polymorphs: 5.6 kJ/mol of atoms
Symmetry: I-42d (122)
D(E_F): 1.31 states/eV/f.u.



[14]
The following is a SCAN calculation of a PBEsol-optimized structure of KZr4Re, from the Alexandria database.

abc: 5.7068 5.7068 5.7068
angles: 60.00 60.00 60.00
With the nearest neighbours (Å) after each atom.
Positions (direct):
K1 0.7500 0.7500 0.7500  12 Zr 3.35, 4 Re 3.49
Re1 0.0000 0.0000 0.0000  12 Zr 3.34, 4 K 3.49
Zr1 0.3716 0.3716 0.3716  6 Zr 2.78-2.93
Zr2 0.3716 0.3716 0.8851  6 Zr 2.78-2.93
Zr3 0.8851 0.3716 0.3716  6 Zr 2.78-2.93
Zr4 0.3716 0.8851 0.3716  6 Zr 2.78-2.93

Total DFT energy (no corrections): -195.15 eV per cell
Energy relative to the elements: 1.179 eV per atom
Symmetry: F-43m (216)
D(E_F): 11.00 states/eV/f.u.